Record 1
Er2ScPd3 after structural relaxation. Source: Alexandria via LeMat-Bulk, functional PBE.

Output
**Total moment**: 0.000 μB per atom
**Symmetry**: Pmmn (59)
**ΔE_f**: -908.9 meV/atom

Geometry as POSCAR:
```
Er2ScPd3
1.0
4.8746 0.0000 0.0000
0.0000 14.7141 0.0000
0.0000 0.0000 3.3537
Er Sc Pd
4 2 6
Direct
0.2500 0.0844 0.0008 Er
0.2500 0.4156 0.0008 Er
0.7500 0.5844 0.9992 Er
0.7500 0.9156 0.9992 Er
0.2500 0.7500 0.9988 Sc
0.7500 0.2500 0.0012 Sc
0.2500 0.2500 0.5008 Pd
0.2500 0.5938 0.4990 Pd
0.2500 0.9062 0.4990 Pd
0.7500 0.0938 0.5010 Pd
0.7500 0.4062 0.5010 Pd
0.7500 0.7500 0.4992 Pd
```

Record 2
Tl8S4I after structural relaxation. Source: Alexandria via LeMat-Bulk, functional PBE.

Output
**Formation energy from raw total energies**: -0.3250 eV/atom
**Total moment**: 0.000 μB per atom
**Symmetry**: R-3m (166)

Geometry as POSCAR:
```
Tl8S4I
1.0
4.2305 2.4425 8.6179
-4.2305 2.4425 8.6179
0.0000 -4.8849 8.6179
Tl S I
8 4 1
Direct
0.2294 0.7320 0.7320 Tl
0.2325 0.2325 0.2325 Tl
0.2680 0.2680 0.7706 Tl
0.2680 0.7706 0.2680 Tl
0.7320 0.2294 0.7320 Tl
0.7320 0.7320 0.2294 Tl
0.7675 0.7675 0.7675 Tl
0.7706 0.2680 0.2680 Tl
0.0000 0.0000 0.5000 S
0.0000 0.5000 0.0000 S
0.5000 0.0000 0.0000 S
0.5000 0.5000 0.5000 S
0.0000 0.0000 0.0000 I
```

Record 3
PrY2Co2 after structural relaxation. Source: Alexandria via LeMat-Bulk, functional PBE.

Output
**Total moment**: 0.178 μB per atom
**Symmetry**: Cmmm (65)
**ΔE_f**: -108.0 meV/atom

Geometry as POSCAR:
```
PrY2Co2
1.0
1.9649 -7.4040 0.0000
1.9649 7.4040 0.0000
0.0000 0.0000 4.0768
Pr Y Co
1 2 2
Direct
0.0000 0.0000 0.0000 Pr
0.3485 0.6515 0.5000 Y
0.6515 0.3485 0.5000 Y
0.2117 0.7883 0.0000 Co
0.7883 0.2117 0.0000 Co
```

Record 4
ZrGaTe3 after structural relaxation. Source: Alexandria via LeMat-Bulk, functional PBE.

Output
**Formation energy from raw total energies**: 0.3856 eV/atom
**Total moment**: 0.000 μB per atom
**Symmetry**: Pm-3m (221)

Geometry as POSCAR:
```
ZrGaTe3
1.0
5.2686 0.0000 0.0000
0.0000 5.2686 0.0000
0.0000 0.0000 5.2686
Zr Ga Te
1 1 3
Direct
0.0000 0.0000 0.0000 Zr
0.5000 0.5000 0.5000 Ga
0.0000 0.5000 0.5000 Te
0.5000 0.0000 0.5000 Te
0.5000 0.5000 0.0000 Te
```

Record 5
LiTm2Pu after structural relaxation. Source: Alexandria via LeMat-Bulk, functional PBE.

Output
**Total moment**: 1.701 μB per atom
**Symmetry**: P4/mmm (123)
**ΔE_f**: 195.6 meV/atom

Geometry as POSCAR:
```
LiTm2Pu
1.0
5.4925 0.0000 0.0000
0.0000 5.4925 0.0000
0.0000 0.0000 3.5083
Li Tm Pu
1 2 1
Direct
0.0000 0.0000 0.0000 Li
0.0000 0.5000 0.5000 Tm
0.5000 0.0000 0.5000 Tm
0.5000 0.5000 0.0000 Pu
```

Record 6
Li3NdI6 after structural relaxation. Source: Alexandria via LeMat-Bulk, functional PBE.

Output
**Formation energy from raw total energies**: -1.1338 eV/atom
**Total moment**: 0.000 μB per atom
**Symmetry**: Cmmm (65)

Geometry as POSCAR:
```
Li3NdI6
1.0
5.0439 -7.5534 0.0000
5.0439 7.5534 0.0000
0.0000 0.0000 4.8646
Li Nd I
3 1 6
Direct
0.0000 0.0000 0.0000 Li
0.0000 0.5000 0.5000 Li
0.5000 0.0000 0.5000 Li
0.5000 0.5000 0.0000 Nd
0.0810 0.3304 0.0000 I
0.3304 0.0810 0.0000 I
0.3595 0.6405 0.5000 I
0.6405 0.3595 0.5000 I
0.6696 0.9190 0.0000 I
0.9190 0.6696 0.0000 I
```

Record 7
Nd15Ho4Tl after structural relaxation. Source: Alexandria via LeMat-Bulk, functional PBE.

Output
**Total moment**: 0.000 μB per atom
**Symmetry**: P4/mmm (123)
**ΔE_f**: -24.6 meV/atom

Geometry as POSCAR:
```
Nd15Ho4Tl
1.0
5.1068 0.0000 0.0000
0.0000 5.1068 0.0000
0.0000 0.0000 25.7762
Nd Ho Tl
15 4 1
Direct
0.0000 0.0000 0.0000 Nd
0.0000 0.0000 0.1975 Nd
0.0000 0.0000 0.3992 Nd
0.0000 0.0000 0.6008 Nd
0.0000 0.0000 0.8025 Nd
0.0000 0.5000 0.0974 Nd
0.0000 0.5000 0.2988 Nd
0.0000 0.5000 0.5000 Nd
0.0000 0.5000 0.7012 Nd
0.0000 0.5000 0.9026 Nd
0.5000 0.0000 0.0974 Nd
0.5000 0.0000 0.2988 Nd
0.5000 0.0000 0.5000 Nd
0.5000 0.0000 0.7012 Nd
0.5000 0.0000 0.9026 Nd
0.5000 0.5000 0.1983 Ho
0.5000 0.5000 0.3997 Ho
0.5000 0.5000 0.6003 Ho
0.5000 0.5000 0.8017 Ho
0.5000 0.5000 0.0000 Tl
```

Record 8
LaIrRu after structural relaxation. Source: Alexandria via LeMat-Bulk, functional PBE.

Output
**Total moment**: 0.000 μB per atom
**Symmetry**: P-6m2 (187)
**ΔE_f**: -253.7 meV/atom

Geometry as POSCAR:
```
LaIrRu
1.0
4.2590 0.0000 0.0000
-2.1295 3.6884 0.0000
0.0000 0.0000 4.3785
La Ir Ru
1 1 1
Direct
0.0000 0.0000 0.0000 La
0.3333 0.6667 0.5000 Ir
0.6667 0.3333 0.5000 Ru
```

Record 9
Ho2Al4PdPt3 after structural relaxation. Source: Alexandria via LeMat-Bulk, functional PBE.

Output
**Total moment**: 0.000 μB per atom
**Symmetry**: P-4m2 (115)
**ΔE_f**: -1076.9 meV/atom

Geometry as POSCAR:
```
Ho2Al4PdPt3
1.0
4.1124 0.0000 0.0000
0.0000 4.1124 0.0000
0.0000 0.0000 10.8797
Ho Al Pd Pt
2 4 1 3
Direct
0.0000 0.5000 0.2441 Ho
0.5000 0.0000 0.7559 Ho
0.0000 0.0000 0.0000 Al
0.0000 0.5000 0.6323 Al
0.5000 0.0000 0.3677 Al
0.5000 0.5000 0.0000 Al
0.0000 0.0000 0.5000 Pd
0.0000 0.5000 0.8605 Pt
0.5000 0.0000 0.1395 Pt
0.5000 0.5000 0.5000 Pt
```

Record 10
AlTcIr2 after structural relaxation. Source: Alexandria via LeMat-Bulk, functional PBE.

Output
**Total moment**: 0.259 μB per atom
**Symmetry**: I4/mmm (139)
**ΔE_f**: -349.4 meV/atom

Geometry as POSCAR:
```
AlTcIr2
1.0
-1.9523 1.9523 3.7913
1.9523 -1.9523 3.7913
1.9523 1.9523 -3.7913
Al Tc Ir
1 1 2
Direct
0.0000 0.0000 0.0000 Al
0.5000 0.5000 0.0000 Tc
0.2500 0.7500 0.5000 Ir
0.7500 0.2500 0.5000 Ir
```

Record 11
Pb2BrO after structural relaxation. Source: Alexandria via LeMat-Bulk, functional PBE.

Output
**Formation energy from raw total energies**: -0.8522 eV/atom
**Total moment**: 0.000 μB per atom
**Symmetry**: C2/c (15)

Geometry as POSCAR:
```
Pb2BrO
1.0
3.7131 -10.7815 0.0000
3.7131 10.7815 0.0000
-2.4861 0.0000 5.3787
Pb Br O
8 4 4
Direct
0.0047 0.3699 0.6307 Pb
0.1224 0.2480 0.1118 Pb
0.2480 0.1224 0.6118 Pb
0.3699 0.0047 0.1307 Pb
0.6301 0.9953 0.8693 Pb
0.7520 0.8776 0.3882 Pb
0.8776 0.7520 0.8882 Pb
0.9953 0.6301 0.3693 Pb
0.3003 0.6997 0.2500 Br
0.4294 0.5706 0.7500 Br
0.5706 0.4294 0.2500 Br
0.6997 0.3003 0.7500 Br
0.0026 0.9974 0.2500 O
0.1351 0.8649 0.7500 O
0.8649 0.1351 0.2500 O
0.9974 0.0026 0.7500 O
```

Record 12
CaZn2P2O10 after structural relaxation. Source: Alexandria via LeMat-Bulk, functional PBE.

Output
**Formation energy from raw total energies**: -1.9379 eV/atom
**Total moment**: 0.132 μB per atom
**Symmetry**: C2/c (15)

Geometry as POSCAR:
```
CaZn2P2O10
1.0
8.8109 -3.7904 0.0000
8.8109 3.7904 0.0000
-2.2292 0.0000 6.3929
Ca Zn P O
2 4 4 20
Direct
0.1119 0.8881 0.7500 Ca
0.8881 0.1119 0.2500 Ca
0.2763 0.2959 0.5322 Zn
0.2959 0.2763 0.0322 Zn
0.7041 0.7237 0.9678 Zn
0.7237 0.7041 0.4678 Zn
0.0315 0.6703 0.3298 P
0.3297 0.9685 0.1702 P
0.6703 0.0315 0.8298 P
0.9685 0.3297 0.6702 P
0.0095 0.1373 0.6089 O
0.1365 0.5712 0.5325 O
0.1373 0.0095 0.1089 O
0.1488 0.5479 0.1458 O
0.1677 0.2862 0.7342 O
0.2862 0.1677 0.2342 O
0.4169 0.5376 0.9565 O
0.4288 0.8635 0.9675 O
0.4521 0.8512 0.3542 O
0.4624 0.5831 0.5435 O
0.5376 0.4169 0.4565 O
0.5479 0.1488 0.6458 O
0.5712 0.1365 0.0325 O
0.5831 0.4624 0.0435 O
0.7138 0.8323 0.7658 O
0.8323 0.7138 0.2658 O
0.8512 0.4521 0.8542 O
0.8627 0.9905 0.8911 O
0.8635 0.4288 0.4675 O
0.9905 0.8627 0.3911 O
```